1.
Computed, not measured: an optimized crystal structure of Tb4Er7Zr at the PBE-GGA level of DFT.

Structure (POSCAR):
```
Tb4Er7Zr
1.0
6.3422 -1.6574 2.6202
0.5790 5.6716 2.1769
2.9142 -2.1629 10.5750
Tb Er Zr
4 7 1
direct
0.6747 0.2177 0.3252
0.3253 0.7823 0.6748
0.4258 0.7258 0.3285
0.5742 0.2742 0.6715
0.0815 0.2736 0.6726
0.2434 0.5005 0.0002
0.9185 0.7264 0.3274
0.1634 0.2248 0.3365
0.8366 0.7752 0.6635
0.5000 0.0000 0.0000
0.7566 0.4995 0.9998
0.0000 0.0000 0.0000
```

Output
Energy of formation, eV per atom: 0.0279
Total moment, Bohr magnetons per cell: 0.0
DOS at the Fermi energy, states/eV/f.u.: 16.9
Space-group type: P-1



2.
Computed, not measured: an optimized crystal structure of BaSbAu at the PBE-GGA level of DFT.

Structure (POSCAR):
```
BaSbAu
1.0
4.8065 -0.0017 -0.0006
0.0043 4.8068 0.0006
-2.4050 2.4076 8.3389
Sb Au Ba
2 2 2
direct
0.3341 0.2090 0.1096
0.5848 0.4597 0.6096
0.1676 0.3766 0.7747
0.4174 0.6263 0.2747
0.0014 0.0431 0.4428
0.7508 0.7925 0.9429
```

Output
Total moment, Bohr magnetons per cell: 0.0
DOS at the Fermi energy, states/eV/f.u.: 0.1
Space-group type: I4_1md
E_form (uncorrected), eV per atom: -0.885



3.
Computed, not measured: an optimized crystal structure of Rb2Ca2Y at the PBE-GGA level of DFT.

Structure (POSCAR):
```
Rb2Ca2Y
1.0
4.7729 0.0000 0.0000
0.0000 4.7729 0.0000
2.3865 2.3865 12.9713
Ca Y Rb
2 1 2
direct
0.7500 0.2500 0.5000
0.2500 0.7500 0.5000
0.0000 0.0000 0.0000
0.3949 0.3949 0.2102
0.6051 0.6051 0.7897
```

Output
Energy of formation, eV per atom: 0.6850
Total moment, Bohr magnetons per cell: 1.1
DOS at the Fermi energy, states/eV/f.u.: 6.6
Space-group type: I4/mmm
Energy above the lowest structure with this stoichiometry, eV per atom: 0.066



4.
Computed, not measured: an optimized crystal structure of SrYCd2 at the PBE-GGA level of DFT.

Structure (POSCAR):
```
SrYCd2
1.0
10.0168 -0.0538 -0.0319
9.2712 3.7927 -0.0319
9.2712 1.7972 3.3400
Cd Y Sr
2 1 1
direct
0.4941 0.4941 0.4941
0.0059 0.0059 0.0059
0.7500 0.7500 0.7500
0.2500 0.2500 0.2500
```

Output
Energy of formation, eV per atom: -0.1140
Total moment, Bohr magnetons per cell: 0.0
DOS at the Fermi energy, states/eV/f.u.: 4.1
Space-group type: R-3m



5.
Computed, not measured: an optimized crystal structure of Li2Pm2NdGe2 at the PBE-GGA level of DFT.

Structure (POSCAR):
```
Li2Pm2NdGe2
1.0
-0.1952 -4.1453 1.8260
1.6023 -0.7132 4.1809
-7.9425 0.3441 5.5610
Li Ge Pm Nd
2 2 2 1
direct
0.3997 0.3997 0.8008
0.6003 0.6003 0.1992
0.7358 0.7358 0.7927
0.2642 0.2642 0.2073
0.8732 0.8732 0.3804
0.1268 0.1268 0.6196
0.0000 0.0000 0.0000
```

Output
Energy of formation, eV per atom: -0.4883
Total moment, Bohr magnetons per cell: 0.0
DOS at the Fermi energy, states/eV/f.u.: 3.5
Space-group type: R-3m



6.
Computed, not measured: an optimized crystal structure of LaTaP4 at the PBE-GGA level of DFT.

Structure (POSCAR):
```
LaTaP4
1.0
0.0000 3.7420 3.7420
3.7420 0.0000 3.7420
3.7420 3.7420 0.0000
P Ta La
4 1 1
direct
0.3802 0.8595 0.3802
0.3802 0.3802 0.3802
0.8595 0.3802 0.3802
0.3802 0.3802 0.8595
0.7500 0.7500 0.7500
0.0000 0.0000 0.0000
```

Output
Energy of formation, eV per atom: 0.2493
Total moment, Bohr magnetons per cell: 0.0
DOS at the Fermi energy, states/eV/f.u.: 5.9
Space-group type: F-43m